Material: Zr4Fe3Tc
Method: DFT, PBE
State: relaxed

```
8
Lattice="3.2086 0.0000 0.0000 0.0000 3.2086 0.0000 0.0000 0.0000 12.8214" Properties=species:S:1:pos:R:3 pbc="T T T"
Zr 0.0000 0.0000 1.5866
Zr 0.0000 0.0000 4.7608
Zr 0.0000 0.0000 8.0605
Zr 0.0000 0.0000 11.2347
Fe 1.6043 1.6043 0.0000
Fe 1.6043 1.6043 3.1261
Fe 1.6043 1.6043 9.6952
Tc 1.6043 1.6043 6.4107
```

Values from the calculation:
Final energy = -8.973 eV per atom
ΔE_f = -0.23 eV/atom
M_tot = 0.00 μB/cell